A relaxed structure of KMoPb2. Source: Alexandria, functional PBEsol.

extended XYZ file:
```
4
Lattice="-2.8804 3.0154 -1.3892 -0.9539 -2.5133 -3.4774 -1.7576 -2.5361 5.0928" Properties=species:S:1:pos:R:3 pbc="T T T"
Mo -2.3143 -2.3992 -0.4090
Pb -3.2776 0.3652 0.6352
Pb 0.0000 0.0000 0.0000
K -1.9172 0.2510 -2.4333
```

Results
The formation energy from the elements comes out at 949 meV per atom. The energy above the most stable polymorph in this dataset comes out at 68 meV per atom.